[1]
Here is a crystal of AlIrBr2 relaxed with PBEsol from the Alexandria database. Energies are from meta-GGA SCAN.

As for the total energy: -28.454 eV/atom. The symmetry is P4/mmm (123). As for the energy above the most stable polymorph in this dataset: 0.315 eV per atom. The value obtained for the formation energy (no corrections) is 3.956 eV/f.u.

a b c (Å): 4.800 4.800 3.167
angles (deg): 90.00 90.00 90.00
Atoms (fractional coordinates):
Al (0.000, 0.000, 0.000)
Ir (0.500, 0.500, 0.000)
Br (0.000, 0.500, 0.500)
Br (0.500, 0.000, 0.500)

[2]
Here is a crystal of AlIrBr2 relaxed with PBEsol from the Alexandria database. Energies are from meta-GGA SCAN.

As for the total energy: -28.402 eV/atom. The symmetry is Fm-3m (225). As for the energy above the most stable polymorph in this dataset: 0.366 eV per atom. The value obtained for the formation energy (no corrections) is 4.162 eV/f.u.

a b c (Å): 6.620 6.620 6.620
angles (deg): 90.00 90.00 90.00
Atoms (fractional coordinates):
Al (0.000, 0.000, 0.000)
Al (0.000, 0.500, 0.500)
Al (0.500, 0.000, 0.500)
Al (0.500, 0.500, 0.000)
Ir (0.000, 0.000, 0.500)
Ir (0.000, 0.500, 0.000)
Ir (0.500, 0.000, 0.000)
Ir (0.500, 0.500, 0.500)
Br (0.250, 0.250, 0.250)
Br (0.250, 0.250, 0.750)
Br (0.250, 0.750, 0.250)
Br (0.250, 0.750, 0.750)
Br (0.750, 0.250, 0.250)
Br (0.750, 0.250, 0.750)
Br (0.750, 0.750, 0.250)
Br (0.750, 0.750, 0.750)

[3]
Here is a crystal of AlIr2Br relaxed with PBEsol from the Alexandria database. Energies are from meta-GGA SCAN.

As for the total energy: -42.222 eV/atom. The symmetry is Cmmm (65). As for the energy above the most stable polymorph in this dataset: 0.000 eV per atom. The value obtained for the formation energy (no corrections) is 0.523 eV/f.u.

a b c (Å): 2.849 4.692 10.107
angles (deg): 90.00 90.00 90.00
Atoms (fractional coordinates):
Al (0.000, 0.000, 0.000)
Al (0.500, 0.500, 0.000)
Ir (0.000, 0.500, 0.194)
Ir (0.000, 0.500, 0.806)
Ir (0.500, 0.000, 0.194)
Ir (0.500, 0.000, 0.806)
Br (0.000, 0.000, 0.500)
Br (0.500, 0.500, 0.500)

[4]
Here is a crystal of AlIr3Br relaxed with PBEsol from the Alexandria database. Energies are from meta-GGA SCAN.

As for the total energy: -46.510 eV/atom. The symmetry is Pm-3m (221). The value obtained for the formation energy (no corrections) is 7.959 eV/f.u.

a b c (Å): 4.503 4.503 4.503
angles (deg): 90.00 90.00 90.00
Atoms (fractional coordinates):
Al (0.000, 0.000, 0.000)
Ir (0.000, 0.000, 0.500)
Ir (0.000, 0.500, 0.000)
Ir (0.500, 0.000, 0.000)
Br (0.500, 0.500, 0.500)

[5]
Here is a crystal of AlIr2Br relaxed with PBEsol from the Alexandria database. Energies are from meta-GGA SCAN.

As for the total energy: -41.944 eV/atom. The symmetry is P4mm (99). As for the energy above the most stable polymorph in this dataset: 0.278 eV per atom. The value obtained for the formation energy (no corrections) is 1.634 eV/f.u.

a b c (Å): 2.894 2.894 7.651
angles (deg): 90.00 90.00 90.00
Atoms (fractional coordinates):
Al (0.000, 0.000, 0.000)
Ir (0.000, 0.000, 0.561)
Ir (0.500, 0.500, 0.803)
Br (0.500, 0.500, 0.307)

[6]
Here is a crystal of YAlIrBr2 relaxed with PBEsol from the Alexandria database. Energies are from meta-GGA SCAN.

As for the total energy: -28.996 eV/atom. The symmetry is P4/mmm (123). The value obtained for the formation energy (no corrections) is 0.632 eV/f.u.

a b c (Å): 5.088 5.088 4.709
angles (deg): 90.00 90.00 90.00
Atoms (fractional coordinates):
Y (0.000, 0.000, 0.000)
Al (0.500, 0.500, 0.000)
Ir (0.500, 0.500, 0.500)
Br (0.000, 0.500, 0.500)
Br (0.500, 0.000, 0.500)

[7]
Here is a crystal of KAl2Br relaxed with PBEsol from the Alexandria database. Energies are from meta-GGA SCAN.

As for the total energy: -11.130 eV/atom. The symmetry is P4mm (99). As for the energy above the most stable polymorph in this dataset: 0.032 eV per atom. The value obtained for the formation energy (no corrections) is -1.228 eV/f.u.

a b c (Å): 3.801 3.801 8.390
angles (deg): 90.00 90.00 90.00
Atoms (fractional coordinates):
K (0.000, 0.000, 0.000)
Al (0.000, 0.000, 0.421)
Al (0.500, 0.500, 0.489)
Br (0.500, 0.500, 0.809)

[8]
Here is a crystal of KAlBr4 relaxed with PBEsol from the Alexandria database. Energies are from meta-GGA SCAN.

As for the total energy: -17.196 eV/atom. The symmetry is P2/c (13). The value obtained for the formation energy (no corrections) is -9.260 eV/f.u.

a b c (Å): 8.593 7.510 13.115
angles (deg): 90.00 105.72 90.00
Atoms (fractional coordinates):
K (0.000, 0.110, 0.250)
K (0.000, 0.890, 0.750)
K (0.500, 0.358, 0.750)
K (0.500, 0.642, 0.250)
Al (0.292, 0.218, 0.050)
Al (0.292, 0.782, 0.550)
Al (0.708, 0.218, 0.450)
Al (0.708, 0.782, 0.950)
Br (0.154, 0.424, 0.124)
Br (0.154, 0.576, 0.624)
Br (0.206, 0.246, 0.867)
Br (0.206, 0.754, 0.367)
Br (0.225, 0.064, 0.597)
Br (0.225, 0.936, 0.097)
Br (0.435, 0.277, 0.393)
Br (0.435, 0.723, 0.893)
Br (0.565, 0.277, 0.107)
Br (0.565, 0.723, 0.607)
Br (0.775, 0.064, 0.903)
Br (0.775, 0.936, 0.403)
Br (0.794, 0.246, 0.633)
Br (0.794, 0.754, 0.133)
Br (0.846, 0.424, 0.376)
Br (0.846, 0.576, 0.876)

[9]
Here is a crystal of KAl2Br relaxed with PBEsol from the Alexandria database. Energies are from meta-GGA SCAN.

As for the total energy: -11.162 eV/atom. The symmetry is Cm (8). As for the energy above the most stable polymorph in this dataset: 0.000 eV per atom. The value obtained for the formation energy (no corrections) is -1.356 eV/f.u.

a b c (Å): 8.037 4.626 6.732
angles (deg): 90.00 94.34 90.00
Atoms (fractional coordinates):
K (0.000, 0.000, 0.000)
K (0.500, 0.500, 0.000)
Al (0.141, 0.500, 0.632)
Al (0.308, 0.000, 0.644)
Al (0.641, 0.000, 0.632)
Al (0.808, 0.500, 0.644)
Br (0.184, 0.500, 0.254)
Br (0.684, 0.000, 0.254)

[10]
Here is a crystal of KAl3Br relaxed with PBEsol from the Alexandria database. Energies are from meta-GGA SCAN.

As for the total energy: -9.550 eV/atom. The symmetry is Pm-3m (221). The value obtained for the formation energy (no corrections) is 3.292 eV/f.u.

a b c (Å): 5.535 5.535 5.535
angles (deg): 90.00 90.00 90.00
Atoms (fractional coordinates):
K (0.000, 0.000, 0.000)
Al (0.000, 0.500, 0.500)
Al (0.500, 0.000, 0.500)
Al (0.500, 0.500, 0.000)
Br (0.500, 0.500, 0.500)

[11]
Here is a crystal of KAlBr relaxed with PBEsol from the Alexandria database. Energies are from meta-GGA SCAN.

As for the total energy: -11.857 eV/atom. The symmetry is F-43m (216). The value obtained for the formation energy (no corrections) is -0.032 eV/f.u.

a b c (Å): 7.631 7.631 7.631
angles (deg): 90.00 90.00 90.00
Atoms (fractional coordinates):
K (0.000, 0.000, 0.000)
K (0.000, 0.500, 0.500)
K (0.500, 0.000, 0.500)
K (0.500, 0.500, 0.000)
Al (0.250, 0.250, 0.250)
Al (0.250, 0.750, 0.750)
Al (0.750, 0.250, 0.750)
Al (0.750, 0.750, 0.250)
Br (0.250, 0.250, 0.750)
Br (0.250, 0.750, 0.250)
Br (0.750, 0.250, 0.250)
Br (0.750, 0.750, 0.750)

[12]
Here is a crystal of KRb2AlBr6 relaxed with PBEsol from the Alexandria database. Energies are from meta-GGA SCAN.

As for the total energy: -19.083 eV/atom. The symmetry is Fm-3m (225). The value obtained for the formation energy (no corrections) is -16.509 eV/f.u.

a b c (Å): 7.827 7.827 7.827
angles (deg): 60.00 60.00 60.00
Atoms (fractional coordinates):
K (0.000, 0.000, 0.000)
Rb (0.250, 0.250, 0.250)
Rb (0.750, 0.750, 0.750)
Al (0.500, 0.500, 0.500)
Br (0.275, 0.275, 0.725)
Br (0.275, 0.725, 0.275)
Br (0.275, 0.725, 0.725)
Br (0.725, 0.275, 0.275)
Br (0.725, 0.275, 0.725)
Br (0.725, 0.725, 0.275)

[13]
Here is a crystal of KAlSe2Br relaxed with PBEsol from the Alexandria database. Energies are from meta-GGA SCAN.

As for the total energy: -16.037 eV/atom. The symmetry is P4/mmm (123). The value obtained for the formation energy (no corrections) is -4.487 eV/f.u.

a b c (Å): 4.849 4.849 5.510
angles (deg): 90.00 90.00 90.00
Atoms (fractional coordinates):
K (0.000, 0.000, 0.000)
Al (0.500, 0.500, 0.500)
Se (0.000, 0.500, 0.500)
Se (0.500, 0.000, 0.500)
Br (0.500, 0.500, 0.000)